(1)
AsIr124 | PBE | relaxed

```
data_AsIr124
_chemical_formula_sum 'As4 Ir496'
_space_group_name_H-M_alt 'F m -3 m'
_space_group_IT_number 225
_space_group_name_Hall '-F 4 2 3'
_cell_length_a 19.305
_cell_length_b 19.305
_cell_length_c 19.305
_cell_angle_alpha 90.00
_cell_angle_beta 90.00
_cell_angle_gamma 90.00
loop_
_atom_site_label
_atom_site_fract_x
_atom_site_fract_y
_atom_site_fract_z
As1 0.000 0.000 0.000
Ir1 0.000 0.000 0.200
Ir2 0.000 0.000 0.400
Ir3 0.000 0.100 0.300
Ir4 0.000 0.101 0.101
Ir5 0.000 0.201 0.201
Ir6 0.100 0.100 0.200
Ir7 0.100 0.100 0.400
Ir8 0.100 0.200 0.300
Ir9 0.200 0.200 0.200
```

Values from the calculation:
E_tot: -8.815 eV per atom

---

(2)
AsIr7 | PBE | relaxed

```
data_AsIr7
_chemical_formula_sum 'As2 Ir14'
_space_group_name_H-M_alt 'P 4/n m m'
_space_group_IT_number 129
_cell_length_a 2.759
_cell_length_b 2.759
_cell_length_c 42.635
_cell_angle_alpha 90.00
_cell_angle_beta 90.00
_cell_angle_gamma 90.00
loop_
_space_group_symop_operation_xyz
'x,y,z'
'-x,-y,-z'
'-y+1/2,x,z'
'y+1/2,-x,-z'
'-x+1/2,-y+1/2,z'
'x+1/2,y+1/2,-z'
'y,-x+1/2,z'
'-y,x+1/2,-z'
'x+1/2,-y,-z'
'-x+1/2,y,z'
'-y,-x,-z'
'y,x,z'
'-x,y+1/2,-z'
'x,-y+1/2,z'
'y+1/2,x+1/2,-z'
'-y+1/2,-x+1/2,z'
loop_
_atom_site_label
_atom_site_fract_x
_atom_site_fract_y
_atom_site_fract_z
As1 0.250 0.250 0.167
Ir1 0.250 0.250 0.254
Ir2 0.250 0.250 0.343
Ir3 0.250 0.250 0.433
Ir4 0.250 0.250 0.522
Ir5 0.250 0.250 0.612
Ir6 0.250 0.250 0.702
Ir7 0.250 0.250 0.793
```

Values from the calculation:
E_tot: -8.293 eV per atom

---

(3)
AsIr15 | PBE | relaxed

```
data_AsIr15
_chemical_formula_sum 'As2 Ir30'
_space_group_name_H-M_alt 'P 1 21/m 1'
_space_group_IT_number 11
_cell_length_a 5.440
_cell_length_b 2.737
_cell_length_c 43.636
_cell_angle_alpha 90.00
_cell_angle_beta 90.01
_cell_angle_gamma 90.00
loop_
_space_group_symop_operation_xyz
'x,y,z'
'-x,-y,-z'
'-x,y+1/2,-z'
'x,-y+1/2,z'
loop_
_atom_site_label
_atom_site_fract_x
_atom_site_fract_y
_atom_site_fract_z
As1 0.124 0.250 0.332
Ir1 0.123 0.250 0.713
Ir2 0.125 0.250 0.066
Ir3 0.125 0.250 0.155
Ir4 0.125 0.250 0.244
Ir5 0.125 0.250 0.801
Ir6 0.125 0.250 0.890
Ir7 0.125 0.250 0.978
Ir8 0.374 0.750 0.287
Ir9 0.375 0.750 0.022
Ir10 0.375 0.750 0.110
Ir11 0.375 0.750 0.199
Ir12 0.375 0.750 0.670
Ir13 0.375 0.750 0.757
Ir14 0.375 0.750 0.846
Ir15 0.375 0.750 0.934
```

Values from the calculation:
E_tot: -8.483 eV per atom

---

(4)
AsIr7 | PBE | relaxed

```
data_AsIr7
_chemical_formula_sum 'As2 Ir14'
_space_group_name_H-M_alt 'P m m n'
_space_group_IT_number 59
_cell_length_a 2.750
_cell_length_b 3.844
_cell_length_c 32.707
_cell_angle_alpha 90.00
_cell_angle_beta 90.00
_cell_angle_gamma 90.00
loop_
_space_group_symop_operation_xyz
'x,y,z'
'-x,-y,-z'
'-x+1/2,-y+1/2,z'
'x+1/2,y+1/2,-z'
'x+1/2,-y,-z'
'-x+1/2,y,z'
'-x,y+1/2,-z'
'x,-y+1/2,z'
loop_
_atom_site_label
_atom_site_fract_x
_atom_site_fract_y
_atom_site_fract_z
As1 0.250 0.250 0.191
Ir1 0.250 0.250 0.271
Ir2 0.250 0.250 0.355
Ir3 0.250 0.250 0.438
Ir4 0.250 0.250 0.521
Ir5 0.250 0.250 0.604
Ir6 0.250 0.250 0.688
Ir7 0.250 0.250 0.773
```

Values from the calculation:
E_tot: -8.288 eV per atom

---

(5)
AsIr15 | PBE | relaxed

```
data_AsIr15
_chemical_formula_sum 'As2 Ir30'
_space_group_name_H-M_alt 'P m m a'
_space_group_IT_number 51
_cell_length_a 3.853
_cell_length_b 3.853
_cell_length_c 43.264
_cell_angle_alpha 90.00
_cell_angle_beta 90.00
_cell_angle_gamma 90.00
loop_
_space_group_symop_operation_xyz
'x,y,z'
'-x,-y,-z'
'-x+1/2,-y,z'
'x+1/2,y,-z'
'x+1/2,-y,-z'
'-x+1/2,y,z'
'-x,y,-z'
'x,-y,z'
loop_
_atom_site_label
_atom_site_fract_x
_atom_site_fract_y
_atom_site_fract_z
As1 0.250 0.000 0.162
Ir1 0.250 0.000 0.254
Ir2 0.250 0.000 0.344
Ir3 0.250 0.000 0.433
Ir4 0.250 0.000 0.522
Ir5 0.250 0.000 0.612
Ir6 0.250 0.000 0.701
Ir7 0.250 0.000 0.790
Ir8 0.250 0.500 0.210
Ir9 0.250 0.500 0.299
Ir10 0.250 0.500 0.388
Ir11 0.250 0.500 0.478
Ir12 0.250 0.500 0.567
Ir13 0.250 0.500 0.656
Ir14 0.250 0.500 0.746
Ir15 0.250 0.500 0.834
```

Values from the calculation:
E_tot: -8.486 eV per atom

---

(6)
AsIr15 | PBE | relaxed

```
data_AsIr15
_chemical_formula_sum 'As4 Ir60'
_space_group_name_H-M_alt 'P c c m'
_space_group_IT_number 49
_cell_length_a 7.715
_cell_length_b 43.760
_cell_length_c 3.867
_cell_angle_alpha 90.00
_cell_angle_beta 90.00
_cell_angle_gamma 90.00
loop_
_space_group_symop_operation_xyz
'x,y,z'
'-x,-y,-z'
'-x,-y,z'
'x,y,-z'
'x,-y,-z+1/2'
'-x,y,z+1/2'
'-x,y,-z+1/2'
'x,-y,z+1/2'
loop_
_atom_site_label
_atom_site_fract_x
_atom_site_fract_y
_atom_site_fract_z
As1 0.191 0.163 0.000
Ir1 0.121 0.214 0.500
Ir2 0.124 0.257 0.000
Ir3 0.125 0.346 0.000
Ir4 0.125 0.390 0.500
Ir5 0.125 0.434 0.000
Ir6 0.125 0.478 0.500
Ir7 0.126 0.301 0.500
Ir8 0.374 0.214 0.000
Ir9 0.374 0.258 0.500
Ir10 0.374 0.346 0.500
Ir11 0.375 0.390 0.000
Ir12 0.375 0.434 0.500
Ir13 0.375 0.478 0.000
Ir14 0.376 0.302 0.000
Ir15 0.379 0.171 0.500
```

Values from the calculation:
E_tot: -8.518 eV per atom

---

(7)
AsIr15 | PBE | relaxed

```
data_AsIr15
_chemical_formula_sum 'As2 Ir30'
_space_group_name_H-M_alt 'P 1 21/m 1'
_space_group_IT_number 11
_cell_length_a 5.432
_cell_length_b 3.859
_cell_length_c 33.940
_cell_angle_alpha 90.00
_cell_angle_beta 90.29
_cell_angle_gamma 90.00
loop_
_space_group_symop_operation_xyz
'x,y,z'
'-x,-y,-z'
'-x,y+1/2,-z'
'x,-y+1/2,z'
loop_
_atom_site_label
_atom_site_fract_x
_atom_site_fract_y
_atom_site_fract_z
As1 0.085 0.250 0.303
Ir1 0.106 0.250 0.734
Ir2 0.120 0.250 0.818
Ir3 0.121 0.250 0.899
Ir4 0.124 0.250 0.980
Ir5 0.128 0.250 0.061
Ir6 0.131 0.250 0.223
Ir7 0.132 0.250 0.141
Ir8 0.367 0.750 0.779
Ir9 0.370 0.750 0.859
Ir10 0.373 0.750 0.940
Ir11 0.376 0.750 0.020
Ir12 0.380 0.750 0.101
Ir13 0.380 0.750 0.181
Ir14 0.399 0.750 0.260
Ir15 0.401 0.750 0.700
```

Values from the calculation:
E_tot: -8.462 eV per atom

---

(8)
AsIr | PBE | relaxed

```
data_AsIr
_chemical_formula_sum 'As4 Ir4'
_space_group_name_H-M_alt 'F m -3 m'
_space_group_IT_number 225
_space_group_name_Hall '-F 4 2 3'
_cell_length_a 5.138
_cell_length_b 5.138
_cell_length_c 5.138
_cell_angle_alpha 90.00
_cell_angle_beta 90.00
_cell_angle_gamma 90.00
loop_
_atom_site_label
_atom_site_fract_x
_atom_site_fract_y
_atom_site_fract_z
As1 0.000 0.000 0.000
Ir1 0.000 0.000 0.500
```

Values from the calculation:
E_tot: -6.489 eV per atom

---

(9)
AsIr10 | PBE | relaxed

```
data_AsIr10
_chemical_formula_sum 'As4 Ir40'
_space_group_name_H-M_alt 'C 1 2/m 1'
_space_group_IT_number 12
_cell_length_a 8.579
_cell_length_b 3.858
_cell_length_c 28.954
_cell_angle_alpha 90.00
_cell_angle_beta 90.15
_cell_angle_gamma 90.00
loop_
_space_group_symop_operation_xyz
'x,y,z'
'-x,-y,-z'
'-x,y,-z'
'x,-y,z'
'x+1/2,y+1/2,z'
'-x+1/2,-y+1/2,-z'
'-x+1/2,y+1/2,-z'
'x+1/2,-y+1/2,z'
loop_
_atom_site_label
_atom_site_fract_x
_atom_site_fract_y
_atom_site_fract_z
As1 0.148 0.000 0.190
Ir1 0.045 0.500 0.245
Ir2 0.050 0.000 0.395
Ir3 0.050 0.500 0.545
Ir4 0.051 0.000 0.694
Ir5 0.148 0.500 0.635
Ir6 0.150 0.000 0.485
Ir7 0.151 0.500 0.335
Ir8 0.152 0.000 0.784
Ir9 0.250 0.000 0.275
Ir10 0.250 0.000 0.575
```

Values from the calculation:
E_tot: -8.401 eV per atom

---

(10)
As2Ir9 | PBE | relaxed

```
data_As2Ir9
_chemical_formula_sum 'As2 Ir9'
_space_group_name_H-M_alt 'P -3 m 1'
_space_group_IT_number 164
_space_group_name_Hall '-P 3 2"'
_cell_length_a 2.7636
_cell_length_b 2.7636
_cell_length_c 33.2843
_cell_angle_alpha 90.00
_cell_angle_beta 90.00
_cell_angle_gamma 120.00
loop_
_atom_site_label
_atom_site_fract_x
_atom_site_fract_y
_atom_site_fract_z
As1 0.3333 0.6667 0.3295
Ir1 0.0000 0.0000 0.0000
Ir2 0.0000 0.0000 0.1992
Ir3 0.3333 0.6667 0.1332
Ir4 0.3333 0.6667 0.7326
Ir5 0.3333 0.6667 0.9335
```

Values from the calculation:
E_tot: -8.010 eV per atom